DFT (PBE with a Hubbard U) results for crystalline SrWO2 at its relaxed geometry.

abc: 4.1786 5.7989 6.6839
angles: 108.03 92.68 92.45
Last column: magnetic moment on the atom in μB.
Element x y z (fractional)
O 0.6410 0.6907 0.0048  -0.03
O 0.1378 0.3487 0.3123  -0.01
O 0.6014 0.1520 0.9485  0.03
O 0.9331 0.9746 0.5897  -0.02
W 0.1502 0.6604 0.5189  -0.07
W 0.6546 0.8196 0.7780  0.31
Sr 0.1231 0.3829 0.9265  0.00
Sr 0.6225 0.1112 0.3096  -0.01

Summary:
Density of states at the Fermi level = 0.879 states/eV per cell
Distance to the lowest polymorph of the same formula = 2.086 kcal/mol of atoms
Space-group type = No. 1